(1)
BaLaHgTe2 GGA-PBE relaxed; magnetic moment = 0.61 μB/f.u.; space-group type = P4/mmm, No. 123; uncorrected formation energy = 229.6 meV/atom; Fermi-level density of states = 6.76 states/eV/cell; E_tot = -0.181 Ry per atom; V = 259.5 Å³/f.u.
1.0
6.406 0.000 0.000
0.000 6.323 0.000
0.000 0.000 6.406
Te Ba La Hg
2 1 1 1
direct
0.000 0.000 0.500
0.500 0.000 0.000
0.000 0.000 0.000
0.000 0.500 0.000
0.500 0.500 0.500

***

(2)
TmAg5S4 GGA-PBE relaxed; magnetic moment = 0.00 μB/f.u.; space-group type = C2/m, No. 12; uncorrected formation energy = -484.3 meV/atom; Fermi-level density of states = 0.20 states/eV/cell; E_tot = -0.295 Ry per atom; V = 210.7 Å³/f.u.
1.0
4.018 0.000 0.000
0.000 7.281 -0.816
-2.009 -2.834 7.519
Ag S Tm
5 4 1
direct
0.822 0.089 0.644
0.500 0.500 0.000
0.178 0.911 0.356
0.178 0.446 0.355
0.822 0.554 0.645
0.000 0.255 0.000
0.000 0.745 0.000
0.691 0.191 0.381
0.309 0.809 0.619
0.500 0.000 0.000

***

(3)
VBI2N GGA-PBE relaxed; polymorph energy (0 for the lowest one) = 0.000 eV/atom; magnetic moment = 3.58 μB/f.u.; space-group type = P4/mmm, No. 123; uncorrected formation energy = 509.5 meV/atom; Fermi-level density of states = 3.61 states/eV/cell; E_tot = -0.363 Ry per atom; V = 114.6 Å³/f.u.
1.0
6.403 0.000 0.000
0.000 6.403 0.000
0.000 0.000 2.794
V I B N
1 2 1 1
direct
0.500 0.500 0.500
0.500 0.000 0.000
0.000 0.500 0.000
0.000 0.000 0.000
0.000 0.000 0.500

***

(4)
Cd2Pd2Se GGA-PBE relaxed; polymorph energy (0 for the lowest one) = 0.126 eV/atom; magnetic moment = 0.00 μB/f.u.; space-group type = P4/mbm, No. 127; uncorrected formation energy = -138.9 meV/atom; Fermi-level density of states = 3.77 states/eV/cell; E_tot = -0.241 Ry per atom; V = 97.1 Å³/f.u.
1.0
8.104 0.000 0.000
0.000 8.104 0.000
0.000 0.000 2.958
Cd Se Pd
4 2 4
direct
0.833 0.667 0.000
0.167 0.333 0.000
0.667 0.167 0.000
0.333 0.833 0.000
0.000 0.000 0.000
0.500 0.500 0.000
0.874 0.374 0.500
0.126 0.626 0.500
0.374 0.126 0.500
0.626 0.874 0.500

***

(5)
LaDyEr2Au4 GGA-PBE relaxed; magnetic moment = 0.00 μB/f.u.; energy of formation = -0.8369 eV/atom; space-group type = R-3m, No. 166; Fermi-level density of states = 4.40 states/eV/cell; E_tot = -0.353 Ry per atom; V = 192.8 Å³/f.u.
1.0
-0.022 -0.275 5.081
-4.010 -1.984 2.423
2.268 -8.548 2.095
Er Au La Dy
2 4 1 1
direct
0.752 0.752 0.743
0.248 0.248 0.257
0.616 0.616 0.152
0.384 0.384 0.848
0.872 0.872 0.385
0.128 0.128 0.615
0.000 0.000 0.000
0.500 0.500 0.500

***

(6)
Ac6Bi3SbTe2 GGA-PBE relaxed; magnetic moment = 0.00 μB/f.u.; space-group type = C2/m, No. 12; uncorrected formation energy = -1231.5 meV/atom; Fermi-level density of states = 4.19 states/eV/cell; E_tot = -0.377 Ry per atom; V = 475.3 Å³/f.u.
1.0
4.829 0.000 0.000
0.000 9.617 0.358
-2.414 -2.753 10.134
Te Sb Ac Bi
2 1 6 3
direct
0.833 0.666 0.665
0.167 0.334 0.335
0.500 0.000 0.000
0.665 0.585 0.330
0.999 0.245 0.998
0.001 0.755 0.002
0.664 0.079 0.329
0.336 0.921 0.671
0.335 0.415 0.670
0.500 0.500 0.000
0.832 0.167 0.663
0.168 0.833 0.337

***

(7)
NaZn6Ga2 GGA-PBE relaxed; polymorph energy (0 for the lowest one) = 0.076 eV/atom; magnetic moment = 0.00 μB/f.u.; energy of formation = 0.0456 eV/atom; space-group type = C2/m, No. 12; Fermi-level density of states = 2.99 states/eV/cell; E_tot = -0.119 Ry per atom; V = 160.9 Å³/f.u.
1.0
3.239 0.051 0.049
1.632 7.348 1.699
1.632 2.019 7.266
Zn Na Ga
6 1 2
direct
0.322 0.001 0.354
0.678 0.646 0.999
0.500 0.670 0.330
0.322 0.354 0.001
0.678 0.999 0.646
0.500 0.330 0.670
0.000 0.000 0.000
0.851 0.644 0.644
0.149 0.356 0.356

***

(8)
Pr5TeSe4 GGA-PBE relaxed; polymorph energy (0 for the lowest one) = 0.000 eV/atom; magnetic moment = 0.00 μB/f.u.; space-group type = C2/m, No. 12; uncorrected formation energy = -1757.1 meV/atom; Fermi-level density of states = 4.98 states/eV/cell; E_tot = -0.430 Ry per atom; V = 285.1 Å³/f.u.
1.0
4.196 0.000 0.958
1.770 7.041 1.914
0.003 0.000 9.650
Se Pr Te
4 5 1
direct
0.405 0.796 0.394
0.595 0.204 0.606
0.796 0.613 0.795
0.204 0.387 0.205
0.611 0.671 0.107
0.389 0.329 0.893
0.000 0.500 0.500
0.208 0.898 0.687
0.792 0.102 0.313
0.000 0.000 0.000

***

(9)
Rb2VCd2 GGA-PBE relaxed; magnetic moment = 4.49 μB/f.u.; energy of formation = 0.7023 eV/atom; space-group type = I4/mmm, No. 139; Fermi-level density of states = 7.69 states/eV/cell; E_tot = -0.138 Ry per atom; V = 202.5 Å³/f.u.
1.0
-1.392 -3.873 -0.279
0.325 -0.412 4.092
-11.694 1.776 3.188
Cd Rb V
2 2 1
direct
0.750 0.250 0.500
0.250 0.750 0.500
0.393 0.393 0.214
0.607 0.607 0.786
0.000 0.000 0.000

***

(10)
SrPdPt2 GGA-PBE relaxed; magnetic moment = 0.00 μB/f.u.; energy of formation = -0.2860 eV/atom; space-group type = I-42d, No. 122; Fermi-level density of states = 5.09 states/eV/cell; E_tot = -0.369 Ry per atom; V = 104.7 Å³/f.u.
1.0
4.802 0.000 0.000
0.000 4.802 0.000
2.401 2.401 9.079
Pd Pt Sr
2 4 2
direct
0.000 0.000 0.000
0.750 0.250 0.500
0.375 0.192 0.750
0.942 0.625 0.250
0.808 0.125 0.250
0.875 0.058 0.750
0.250 0.750 0.500
0.500 0.500 0.000

***

(11)
Sm3TmPb2 GGA-PBE relaxed; polymorph energy (0 for the lowest one) = 0.000 eV/atom; magnetic moment = 0.00 μB/f.u.; energy of formation = -0.4309 eV/atom; space-group type = P-4m2, No. 115; Fermi-level density of states = 5.48 states/eV/cell; E_tot = -0.351 Ry per atom; V = 186.1 Å³/f.u.
1.0
4.615 0.000 0.000
0.000 4.615 0.000
0.000 0.000 8.739
Sm Tm Pb
3 1 2
direct
0.500 0.000 0.344
0.000 0.500 0.656
0.000 0.000 0.000
0.500 0.500 0.000
0.000 0.500 0.282
0.500 0.000 0.718

***

(12)
BeZnSb GGA-PBE relaxed; polymorph energy (0 for the lowest one) = 0.248 eV/atom; magnetic moment = 0.00 μB/f.u.; space-group type = Imm2, No. 44; uncorrected formation energy = 455.7 meV/atom; Fermi-level density of states = 1.13 states/eV/cell; E_tot = -0.190 Ry per atom; V = 53.8 Å³/f.u.
1.0
6.092 0.998 -0.099
3.953 4.742 0.099
-4.924 -3.043 2.149
Zn Sb Be
1 1 1
direct
0.624 0.624 0.000
0.352 0.352 0.000
0.023 0.023 0.000

***

(13)
Re2HgSe GGA-PBE relaxed; polymorph energy (0 for the lowest one) = 0.720 eV/atom; magnetic moment = 0.00 μB/f.u.; space-group type = P2/m, No. 10; uncorrected formation energy = 1045.6 meV/atom; Fermi-level density of states = 3.42 states/eV/cell; E_tot = -0.450 Ry per atom; V = 69.8 Å³/f.u.
1.0
-4.395 0.746 -1.048
-0.733 -2.147 1.547
-0.498 3.302 4.439
Hg Re Se
1 2 1
direct
0.500 0.750 0.750
0.000 0.344 0.516
0.000 0.156 0.984
0.500 0.250 0.250

***

(14)
CaTbCdRh GGA-PBE relaxed; polymorph energy (0 for the lowest one) = 0.000 eV/atom; magnetic moment = 0.00 μB/f.u.; energy of formation = -0.5048 eV/atom; space-group type = P4mm, No. 99; Fermi-level density of states = 3.88 states/eV/cell; E_tot = -0.311 Ry per atom; V = 95.7 Å³/f.u.
1.0
-1.022 -3.139 1.392
1.621 0.839 3.082
-6.300 3.142 2.459
Tb Rh Cd Ca
1 1 1 1
direct
0.500 0.500 0.358
0.000 0.000 0.544
0.000 0.000 0.084
0.500 0.500 0.800

***

(15)
Zr3UN4 GGA-PBE relaxed; polymorph energy (0 for the lowest one) = 0.189 eV/atom; magnetic moment = 1.02 μB/f.u.; space-group type = Pmmn, No. 59; uncorrected formation energy = -1433.1 meV/atom; Fermi-level density of states = 13.67 states/eV/cell; E_tot = -0.751 Ry per atom; V = 119.9 Å³/f.u.
1.0
4.680 0.000 0.000
0.000 6.655 0.000
0.000 0.000 7.701
Zr N U
6 8 2
direct
0.064 0.666 0.248
0.564 0.334 0.748
0.564 0.820 0.000
0.064 0.666 0.752
0.564 0.334 0.252
0.064 0.180 0.500
0.064 0.336 0.756
0.064 0.821 0.000
0.564 0.179 0.500
0.564 0.664 0.256
0.064 0.336 0.244
0.564 0.664 0.744
0.064 0.838 0.500
0.564 0.162 0.000
0.564 0.845 0.500
0.064 0.155 0.000

***

(16)
KRbGe2 GGA-PBE relaxed; polymorph energy (0 for the lowest one) = 0.000 eV/atom; magnetic moment = 0.00 μB/f.u.; energy of formation = -0.1000 eV/atom; space-group type = Pnma, No. 62; Fermi-level density of states = 6.66 states/eV/cell; E_tot = -0.215 Ry per atom; V = 137.7 Å³/f.u.
1.0
7.469 0.000 0.000
0.000 7.002 0.000
0.000 0.000 10.536
Ge Rb K
8 4 4
direct
0.413 0.861 0.047
0.587 0.139 0.953
0.087 0.361 0.453
0.587 0.639 0.547
0.413 0.361 0.453
0.913 0.639 0.547
0.913 0.139 0.953
0.087 0.861 0.047
0.750 0.003 0.290
0.250 0.497 0.790
0.750 0.503 0.210
0.250 0.997 0.710
0.750 0.153 0.635
0.750 0.653 0.865
0.250 0.847 0.365
0.250 0.347 0.135

***

(17)
ZnPtS2N GGA-PBE relaxed; polymorph energy (0 for the lowest one) = 0.577 eV/atom; magnetic moment = 2.15 μB/f.u.; space-group type = P4/mmm, No. 123; uncorrected formation energy = 1233.9 meV/atom; Fermi-level density of states = 3.72 states/eV/cell; E_tot = -0.261 Ry per atom; V = 82.5 Å³/f.u.
1.0
-4.136 -0.133 2.365
-2.103 -1.981 -3.790
0.830 -3.304 1.266
Zn S Pt N
1 2 1 1
direct
0.000 0.000 0.000
0.500 0.000 0.000
0.000 0.500 0.000
0.500 0.500 0.500
0.000 0.000 0.500

***

(18)
TaPRh2 GGA-PBE relaxed; magnetic moment = 0.00 μB/f.u.; energy of formation = -0.1203 eV/atom; space-group type = P4/mmm, No. 123; Fermi-level density of states = 3.78 states/eV/cell; E_tot = -0.596 Ry per atom; V = 60.6 Å³/f.u.
1.0
4.524 0.000 0.000
0.000 4.524 0.000
0.000 0.000 2.960
Rh Ta P
2 1 1
direct
0.000 0.500 0.000
0.500 0.000 0.000
0.500 0.500 0.500
0.000 0.000 0.500

***

(19)
Rb3CoAu GGA-PBE relaxed; polymorph energy (0 for the lowest one) = 0.000 eV/atom; magnetic moment = 1.72 μB/f.u.; energy of formation = 0.5970 eV/atom; space-group type = Pm-3m, No. 221; Fermi-level density of states = 9.03 states/eV/cell; E_tot = -0.151 Ry per atom; V = 286.9 Å³/f.u.
1.0
6.595 0.000 0.000
0.000 6.595 0.000
0.000 0.000 6.595
Co Rb Au
1 3 1
direct
0.500 0.500 0.500
0.000 0.000 0.500
0.000 0.500 0.000
0.500 0.000 0.000
0.000 0.000 0.000

***

(20)
Rh3ICl GGA-PBE relaxed; magnetic moment = 0.00 μB/f.u.; space-group type = Pm-3m, No. 221; uncorrected formation energy = 867.8 meV/atom; Fermi-level density of states = 5.29 states/eV/cell; E_tot = -0.310 Ry per atom; V = 94.3 Å³/f.u.
1.0
-0.002 -1.505 4.297
-3.696 -2.509 -0.880
2.659 -3.488 -1.220
Cl I Rh
1 1 3
direct
0.000 0.000 0.000
0.500 0.500 0.500
0.500 0.000 0.000
0.000 0.000 0.500
0.000 0.500 0.000

***

(21)
CaSN2O GGA-PBE relaxed; magnetic moment = 0.00 μB/f.u.; space-group type = P4/mmm, No. 123; uncorrected formation energy = 96.7 meV/atom; Fermi-level density of states = 1.00 states/eV/cell; E_tot = -0.401 Ry per atom; V = 51.8 Å³/f.u.
1.0
3.497 0.000 0.000
0.000 3.497 0.000
0.000 0.000 4.239
N O S Ca
2 1 1 1
direct
0.500 0.000 0.000
0.000 0.500 0.000
0.000 0.000 0.500
0.000 0.000 0.000
0.500 0.500 0.500

***

(22)
CaAuI2N GGA-PBE relaxed; polymorph energy (0 for the lowest one) = 0.247 eV/atom; magnetic moment = 2.22 μB/f.u.; space-group type = P4/mmm, No. 123; uncorrected formation energy = 425.9 meV/atom; Fermi-level density of states = 1.49 states/eV/cell; E_tot = -0.214 Ry per atom; V = 172.0 Å³/f.u.
1.0
-0.118 6.037 0.855
-2.058 -0.844 5.678
4.352 -0.135 1.557
Au I N Ca
1 2 1 1
direct
0.500 0.500 0.500
0.500 0.000 0.000
0.000 0.500 0.000
0.000 0.000 0.500
0.000 0.000 0.000

***

(23)
AlZnTeI2 GGA-PBE relaxed; polymorph energy (0 for the lowest one) = 0.000 eV/atom; magnetic moment = 0.00 μB/f.u.; space-group type = P4/mmm, No. 123; uncorrected formation energy = 89.6 meV/atom; Fermi-level density of states = 1.85 states/eV/cell; E_tot = -0.159 Ry per atom; V = 168.2 Å³/f.u.
1.0
5.533 0.000 0.000
0.000 5.533 0.000
0.000 0.000 5.494
I Al Zn Te
2 1 1 1
direct
0.000 0.500 0.000
0.500 0.000 0.000
0.000 0.000 0.000
0.500 0.500 0.500
0.000 0.000 0.500

***

(24)
Sr5P2 GGA-PBE relaxed; magnetic moment = 0.89 μB/f.u.; energy of formation = -0.6815 eV/atom; space-group type = C2/c, No. 15; Fermi-level density of states = 8.33 states/eV/cell; E_tot = -0.252 Ry per atom; V = 254.8 Å³/f.u.
1.0
-2.314 1.804 -6.578
1.057 -7.567 -2.448
-7.232 -1.974 5.947
P Sr
4 10
direct
0.202 0.415 0.788
0.798 0.585 0.212
0.413 0.085 0.212
0.587 0.915 0.788
0.575 0.250 0.000
0.176 0.410 0.187
0.425 0.750 0.000
0.011 0.910 0.187
0.824 0.590 0.813
0.642 0.819 0.419
0.777 0.319 0.419
0.223 0.681 0.581
0.358 0.181 0.581
0.989 0.090 0.813

***

(25)
Zr2InAgH GGA-PBE relaxed; polymorph energy (0 for the lowest one) = 0.121 eV/atom; magnetic moment = 0.00 μB/f.u.; space-group type = P4/mmm, No. 123; Fermi-level density of states = 3.52 states/eV/cell; E_tot = -0.393 Ry per atom; V = 86.8 Å³/f.u.
1.0
-1.107 -2.868 2.931
3.636 0.718 2.076
-2.148 3.453 2.568
Zr H Ag In
2 1 1 1
direct
0.000 0.500 0.000
0.500 0.000 0.000
0.000 0.000 0.000
0.500 0.500 0.500
0.000 0.000 0.500